TbPmSi2Pt4: optimized geometry, PBE.

a b c (Å): 4.1822 4.1822 8.9556
angles (deg): 90.00 90.00 90.00
With the nearest neighbours (Å) after each atom.
Atoms (fractional coordinates):
Tb1 0.0000 0.0000 0.0000  8 Pt 2.95
Pm1 0.0000 0.0000 0.5000  8 Pt 3.19, 8 Si 3.19
Si1 0.5000 0.5000 0.3674  1 Si 2.38, 4 Pt 2.42
Si2 0.5000 0.5000 0.6326  1 Si 2.38, 4 Pt 2.42
Pt1 0.0000 0.5000 0.2316  2 Si 2.42
Pt2 0.0000 0.5000 0.7684  2 Si 2.42
Pt3 0.5000 0.0000 0.2316  2 Si 2.42
Pt4 0.5000 0.0000 0.7684  2 Si 2.42

## Properties
Magnetic moment ... 0.000 μB per atom
Formation energy without anion corrections ... -972 meV per atom
Total energy ... -52.163 eV per cell
Fermi-level density of states ... 4.1 states/eV per cell
SG ... P4/mmm